First-principles (PBE) data for crystalline Pm8SnHg2 at its relaxed geometry, as listed in Alexandria.

Cell lengths 5.2725, 7.3861, 9.7500 Å; angles 108.20, 105.69, 90.00 degrees
Last column: nearest neighbours and their distance in Å.
Fractional positions:
Pm: 0.3315 0.0286 0.6630  3 Hg 3.05-3.31, 1 Sn 3.24
Pm: 0.0212 0.7633 0.0425  1 Hg 3.11, 2 Sn 3.26, 2 Pm 3.45
Pm: 0.9788 0.2367 0.9575  1 Hg 3.11, 2 Sn 3.26, 2 Pm 3.45
Pm: 0.1966 0.3131 0.3933  1 Hg 3.06
Pm: 0.6685 0.9714 0.3370  3 Hg 3.05-3.31, 1 Sn 3.24
Pm: 0.5911 0.4627 0.1823  1 Sn 3.29, 2 Hg 3.33, 6 Pm 3.45-3.68
Pm: 0.4089 0.5373 0.8177  1 Sn 3.29, 2 Hg 3.33, 6 Pm 3.45-3.68
Pm: 0.8034 0.6869 0.6067  1 Hg 3.06
Hg: 0.8208 0.2887 0.6417  7 Pm 3.05-3.33
Hg: 0.1792 0.7113 0.3583  7 Pm 3.05-3.33
Sn: 0.5000 0.0000 0.0000  8 Pm 3.24-3.29

Output
VASP energy: -4.15 eV per atom
Size of the total moment: 0.0 μB/f.u.
Symmetry: C2/m
Fermi-level density of states: 11.26 states/eV/cell